w | DFT (PBE) results for crystalline ZrAgMo2 at its relaxed geometry.

a = 5.4152 Å, b = 5.4152 Å, c = 5.4152 Å
α = 142.66°, β = 131.51°, γ = 62.75°
Closest atoms and distances in Å follow each position.
Atoms (fractional coordinates):
Ag (0.2500, 0.7500, 0.5000)  4 Zr 2.82, 4 Mo 2.93
Mo (0.9940, 0.9940, 0.0000)  4 Mo 2.82, 2 Zr 2.84, 2 Ag 2.93
Mo (0.5060, 0.5060, 0.0000)  4 Mo 2.82, 2 Zr 2.84, 2 Ag 2.93
Zr (0.7500, 0.2500, 0.5000)  4 Ag 2.82, 4 Mo 2.84

x | DFT (PBE) results for crystalline ZrAgMo2 at its relaxed geometry.

a = 2.7602 Å, b = 2.7602 Å, c = 9.5221 Å
α = 90.00°, β = 90.00°, γ = 104.00°
Closest atoms and distances in Å follow each position.
Atoms (fractional coordinates):
Ag (0.5000, 0.5000, 0.7500)  4 Ag 2.76, 4 Mo 2.89
Mo (0.0000, 0.0000, 0.9950)  4 Mo 2.76, 2 Ag 2.89, 2 Zr 2.96
Mo (0.0000, 0.0000, 0.5050)  4 Mo 2.76, 2 Ag 2.89, 2 Zr 2.96
Zr (0.5000, 0.5000, 0.2500)  4 Zr 2.76, 4 Mo 2.96

Which one is most stable, and which one is least stable? x is the most stable of them, while w is the least stable.

w | DFT (PBE) results for crystalline ZrAgMo2 at its relaxed geometry.

a = 5.5945 Å, b = 5.5945 Å, c = 2.7232 Å
α = 80.51°, β = 80.51°, γ = 119.37°
Closest atoms and distances in Å follow each position.
Atoms (fractional coordinates):
Ag (0.0000, 0.5000, 0.5000)  2 Ag 2.72, 2 Zr 2.82, 4 Mo 2.90
Mo (0.0000, 0.0000, 0.0000)  4 Mo 2.72-2.82, 2 Ag 2.90, 2 Zr 2.90
Mo (0.5000, 0.5000, 0.0000)  4 Mo 2.72-2.82, 2 Zr 2.90, 2 Ag 2.90
Zr (0.5000, 0.0000, 0.5000)  2 Zr 2.72, 2 Ag 2.82, 4 Mo 2.90

x | DFT (PBE) results for crystalline ZrAgMo2 at its relaxed geometry.

a = 3.4375 Å, b = 3.4375 Å, c = 5.9917 Å
α = 90.00°, β = 90.00°, γ = 90.00°
Closest atoms and distances in Å follow each position.
Atoms (fractional coordinates):
Ag (0.5000, 0.5000, 0.7500)  8 Mo 2.86, 2 Zr 3.00
Mo (0.0000, 0.0000, 0.0000)  4 Ag 2.86, 4 Zr 2.86, 2 Mo 3.00
Mo (0.0000, 0.0000, 0.5000)  4 Ag 2.86, 4 Zr 2.86, 2 Mo 3.00
Zr (0.5000, 0.5000, 0.2500)  8 Mo 2.86, 2 Ag 3.00

y | DFT (PBE) results for crystalline ZrAgMo2 at its relaxed geometry.

a = 4.3941 Å, b = 2.8074 Å, c = 6.0296 Å
α = 74.16°, β = 90.00°, γ = 90.00°
Closest atoms and distances in Å follow each position.
Atoms (fractional coordinates):
Ag (0.5000, 0.7716, 0.7536)  2 Ag 2.81, 6 Mo 2.84-3.11, 4 Zr 3.00-3.03
Mo (0.0000, 0.0667, 0.0276)  4 Mo 2.60-2.81, 1 Zr 2.88
Mo (0.5000, 0.2251, 0.2259)  4 Mo 2.60-2.81, 1 Ag 2.84, 2 Zr 2.88
Zr (0.0000, 0.4366, 0.4929)  2 Zr 2.81, 4 Mo 2.88-3.11, 4 Ag 3.00-3.03

Which one is most stable, and which one is least stable? y is the most stable of them, while x is the least stable.

w | DFT (PBE) results for crystalline ZrAgMo2 at its relaxed geometry.

a = 2.7512 Å, b = 2.7512 Å, c = 9.3418 Å
α = 90.00°, β = 90.00°, γ = 90.00°
Closest atoms and distances in Å follow each position.
Atoms (fractional coordinates):
Ag (0.5000, 0.5000, 0.7616)  4 Ag 2.75, 4 Mo 2.96
Mo (0.0000, 0.0000, 0.0004)  8 Mo 2.75-2.97, 4 Ag 2.96
Mo (0.5000, 0.5000, 0.2407)  8 Mo 2.75-2.97
Zr (0.0000, 0.0000, 0.4972)  4 Zr 2.75

x | DFT (PBE) results for crystalline ZrAgMo2 at its relaxed geometry.

a = 3.2391 Å, b = 3.2391 Å, c = 6.8880 Å
α = 90.00°, β = 90.00°, γ = 90.00°
Closest atoms and distances in Å follow each position.
Atoms (fractional coordinates):
Ag (0.5000, 0.5000, 0.7647)  5 Mo 2.92-3.18, 4 Zr 3.01, 4 Ag 3.24
Mo (0.0000, 0.0000, 0.0281)  4 Mo 2.67, 4 Ag 2.92
Mo (0.5000, 0.5000, 0.2266)  4 Mo 2.67, 4 Zr 2.88
Zr (0.0000, 0.0000, 0.4806)  5 Mo 2.88-3.12, 4 Ag 3.01

y | DFT (PBE) results for crystalline ZrAgMo2 at its relaxed geometry.

a = 7.5372 Å, b = 7.5372 Å, c = 5.9757 Å
α = 50.90°, β = 50.90°, γ = 90.00°
Closest atoms and distances in Å follow each position.
Atoms (fractional coordinates):
Mo (0.6376, 0.1250, 0.2500)  2 Ag 2.68, 2 Mo 2.71, 2 Zr 2.82
Mo (0.1124, 0.6250, 0.2500)  2 Ag 2.68, 2 Mo 2.71, 2 Zr 2.82
Mo (0.3750, 0.3624, 0.7500)  2 Ag 2.68, 2 Mo 2.71, 2 Zr 2.82
Mo (0.8750, 0.8876, 0.7500)  2 Ag 2.68, 2 Mo 2.71, 2 Zr 2.82
Zr (0.5000, 0.5000, 0.0000)  2 Ag 2.70, 4 Mo 2.82
Zr (0.2500, 0.7500, 0.5000)  2 Ag 2.70, 4 Mo 2.82
Ag (0.0000, 0.0000, 0.0000)  4 Mo 2.68, 2 Zr 2.70
Ag (0.7500, 0.2500, 0.5000)  4 Mo 2.68, 2 Zr 2.70

Which one is most stable, and which one is least stable? x is the most stable of them, while y is the least stable.